No. 1
ErZrPd4, optimized geometry, DFT PBE; formation energy from the elements = -294 kJ/mol of formula units; polymorph energy (0 for the lowest one) = 288 meV/atom; uncorrected energy = -36.934 eV/cell; space-group type = P4/mmm (123); total moment = 0.00 μB/f.u.
1.0
3.9142 0.0001 -0.0016
0.0000 3.9192 -0.0026
0.0036 0.0056 8.1363
Er Zr Pd
1 1 4
direct
0.5013 0.4972 0.9981 Er
0.0013 0.9973 0.4981 Zr
0.5013 0.9973 0.2603 Pd
0.5013 0.9973 0.7359 Pd
0.0013 0.4973 0.7357 Pd
0.0013 0.4973 0.2606 Pd

No. 2
Er2ZrPd9, optimized geometry, DFT PBE; formation energy from the elements = -1023 kJ/mol of formula units; uncorrected energy = -75.008 eV/cell; space-group type = P4/mmm (123); total moment = 0.00 μB/f.u.
1.0
4.0755 0.0000 0.0000
0.0000 4.0755 0.0000
0.0000 0.0000 12.2553
Er Zr Pd
2 1 9
direct
0.0000 0.0000 0.3328 Er
0.0000 0.0000 0.6672 Er
0.0000 0.0000 0.0000 Zr
0.5000 0.5000 0.0000 Pd
0.5000 0.5000 0.3297 Pd
0.5000 0.5000 0.6703 Pd
0.5000 0.0000 0.1606 Pd
0.5000 0.0000 0.5000 Pd
0.5000 0.0000 0.8394 Pd
0.0000 0.5000 0.1606 Pd
0.0000 0.5000 0.5000 Pd
0.0000 0.5000 0.8394 Pd

No. 3
Er2ZrPd8, optimized geometry, DFT PBE; formation energy from the elements = -797 kJ/mol of formula units; uncorrected energy = -67.474 eV/cell; space-group type = C2/m (12); total moment = 0.00 μB/f.u.
1.0
-1.7868 -3.6889 0.7181
4.2327 -2.8903 -4.3150
3.8900 1.6939 6.3238
Er Zr Pd
2 1 8
direct
0.7826 0.3345 0.5652 Er
0.2174 0.6655 0.4348 Er
0.5000 0.0000 0.0000 Zr
0.4073 0.5592 0.8147 Pd
0.6744 0.9076 0.3487 Pd
0.8606 0.8246 0.7212 Pd
0.9641 0.2767 0.9281 Pd
0.1394 0.1754 0.2788 Pd
0.3256 0.0924 0.6513 Pd
0.5927 0.4408 0.1853 Pd
0.0359 0.7233 0.0719 Pd

No. 4
ErZrPd4, optimized geometry, DFT PBE; formation energy from the elements = -461 kJ/mol of formula units; polymorph energy (0 for the lowest one) = 0 meV/atom; uncorrected energy = -154.653 eV/cell; space-group type = Cmcm (63); total moment = 0.00 μB/f.u.
1.0
4.1507 0.0000 0.0000
0.0000 8.0723 0.0000
0.0000 0.0000 12.8393
Er Zr Pd
4 4 16
direct
0.7500 0.7502 0.7656 Er
0.2500 0.2498 0.2344 Er
0.2500 0.7498 0.2656 Er
0.7500 0.2502 0.7344 Er
0.7500 0.2500 0.4406 Zr
0.2500 0.7500 0.5594 Zr
0.2500 0.2500 0.9406 Zr
0.7500 0.7500 0.0594 Zr
0.7500 0.9837 0.5841 Pd
0.2500 0.0163 0.4159 Pd
0.2500 0.5163 0.0841 Pd
0.7500 0.4837 0.9159 Pd
0.7500 0.7499 0.4163 Pd
0.2500 0.2501 0.5837 Pd
0.2500 0.7501 0.9163 Pd
0.7500 0.2499 0.0837 Pd
0.7500 0.0164 0.9159 Pd
0.2500 0.9836 0.0841 Pd
0.2500 0.4836 0.4159 Pd
0.7500 0.5164 0.5841 Pd
0.7500 0.9998 0.2500 Pd
0.2500 0.0002 0.7500 Pd
0.2500 0.5002 0.7500 Pd
0.7500 0.4998 0.2500 Pd

No. 5
ErZrPd14, optimized geometry, DFT PBE; formation energy from the elements = -652 kJ/mol of formula units; uncorrected energy = -92.565 eV/cell; space-group type = P4/mmm (123); total moment = 0.00 μB/f.u.
1.0
-4.1329 1.5169 3.6356
0.8556 -4.7979 2.9745
5.3467 3.7512 4.5128
Er Zr Pd
1 1 14
direct
0.3750 0.3750 0.5000 Er
0.8750 0.8750 0.5000 Zr
0.8750 0.8750 0.0000 Pd
0.3750 0.3750 0.0000 Pd
0.8750 0.3750 0.5000 Pd
0.8750 0.3750 0.0000 Pd
0.3750 0.8750 0.5000 Pd
0.3750 0.8750 0.0000 Pd
0.6279 0.1222 0.2470 Pd
0.6279 0.1222 0.7530 Pd
0.1222 0.6279 0.2470 Pd
0.1222 0.6279 0.7530 Pd
0.6278 0.6278 0.2470 Pd
0.6278 0.6278 0.7530 Pd
0.1222 0.1222 0.2470 Pd
0.1222 0.1222 0.7530 Pd

No. 6
Er3ZrPd12, optimized geometry, DFT PBE; formation energy from the elements = -1375 kJ/mol of formula units; uncorrected energy = -98.802 eV/cell; space-group type = P4/mmm (123); total moment = 0.00 μB/f.u.
1.0
-2.2036 -3.4421 -0.0857
3.1438 -1.9700 -1.7165
5.6076 -3.9587 14.8138
Er Zr Pd
3 1 12
direct
0.0000 0.0000 0.2484 Er
0.0000 0.0000 0.5000 Er
0.0000 0.0000 0.7516 Er
0.0000 0.0000 0.0000 Zr
0.5000 0.5000 0.0000 Pd
0.5000 0.5000 0.2467 Pd
0.5000 0.5000 0.5000 Pd
0.5000 0.5000 0.7533 Pd
0.5000 0.0000 0.1200 Pd
0.5000 0.0000 0.3734 Pd
0.5000 0.0000 0.6266 Pd
0.5000 0.0000 0.8800 Pd
0.0000 0.5000 0.1200 Pd
0.0000 0.5000 0.3734 Pd
0.0000 0.5000 0.6266 Pd
0.0000 0.5000 0.8800 Pd

No. 7
Pm3Er, optimized geometry, DFT PBE; formation energy from the elements = 12 kJ/mol of formula units; polymorph energy (0 for the lowest one) = 15 meV/atom; uncorrected energy = -18.694 eV/cell; space-group type = Pmm2 (25); total moment = 0.00 μB/f.u.
1.0
3.6656 0.0000 0.0000
0.0000 5.8159 0.0000
0.0000 0.0000 6.3348
Pm Er
3 1
direct
0.0000 0.5000 0.3335 Pm
0.5000 0.0000 0.4990 Pm
0.5000 0.5000 0.8334 Pm
0.0000 0.0000 0.0006 Er

No. 8
Pm2Er, optimized geometry, DFT PBE; formation energy from the elements = 40 kJ/mol of formula units; polymorph energy (0 for the lowest one) = 117 meV/atom; uncorrected energy = -27.296 eV/cell; space-group type = I4_1/amd (141); total moment = 0.00 μB/f.u.
1.0
-3.0928 0.0070 -1.6295
-1.6295 -0.0004 3.0928
2.3899 16.5811 -0.7145
Pm Er
4 2
direct
0.5779 0.5779 0.1557 Pm
0.6721 0.1721 0.3443 Pm
0.4221 0.4221 0.8443 Pm
0.8279 0.3279 0.6557 Pm
0.0000 0.0000 0.0000 Er
0.2500 0.7500 0.5000 Er

No. 9
Pm4Er, optimized geometry, DFT PBE; formation energy from the elements = 9 kJ/mol of formula units; polymorph energy (0 for the lowest one) = 5 meV/atom; uncorrected energy = -23.474 eV/cell; space-group type = I4/mmm (139); total moment = 0.00 μB/f.u.
1.0
3.6236 0.0000 0.0000
0.0000 3.6236 0.0000
-1.8118 -1.8118 12.8011
Pm Er
4 1
direct
0.5979 0.5979 0.1958 Pm
0.1990 0.1990 0.3981 Pm
0.8010 0.8010 0.6019 Pm
0.4021 0.4021 0.8042 Pm
0.0000 0.0000 0.0000 Er

No. 10
PmEr4, optimized geometry, DFT PBE; formation energy from the elements = 11 kJ/mol of formula units; polymorph energy (0 for the lowest one) = 0 meV/atom; uncorrected energy = -22.891 eV/cell; space-group type = C2/m (12); total moment = 0.00 μB/f.u.
1.0
-2.1651 2.3540 -1.5090
-3.0185 -1.0792 -1.4932
-8.5281 2.1730 11.5288
Pm Er
1 4
direct
0.0000 0.0000 0.0000 Pm
0.1996 0.1996 0.4009 Er
0.8004 0.8004 0.5991 Er
0.5991 0.5991 0.2035 Er
0.4009 0.4009 0.7965 Er

No. 11
Pm2Er, optimized geometry, DFT PBE; formation energy from the elements = 6 kJ/mol of formula units; polymorph energy (0 for the lowest one) = 0 meV/atom; uncorrected energy = -13.998 eV/cell; space-group type = I4/mmm (139); total moment = 0.00 μB/f.u.
1.0
-2.2345 -2.2752 1.6839
0.2448 -2.2926 -2.7729
6.9652 -1.1118 3.8790
Pm Er
2 1
direct
0.6648 0.6648 0.3297 Pm
0.3352 0.3352 0.6703 Pm
0.0000 0.0000 0.0000 Er

No. 12
PmEr2, optimized geometry, DFT PBE; formation energy from the elements = -2 kJ/mol of formula units; polymorph energy (0 for the lowest one) = 0 meV/atom; uncorrected energy = -13.896 eV/cell; space-group type = C2/m (12); total moment = 0.00 μB/f.u.
1.0
-1.2120 -0.5224 -3.3315
2.1572 -1.4081 -2.4910
-0.7561 -8.6271 1.6282
Pm Er
1 2
direct
0.5053 0.0007 0.4944 Pm
0.2845 0.4422 0.8314 Er
0.7261 0.5592 0.1574 Er

Look up the total moment of the third one.
0.00 μB/f.u.